The following is a PBE calculation of a relaxed structure of CsCu3N, from the Alexandria database.

Unit cell a=5.2881 b=5.2881 c=5.2881 alpha=90.00 beta=90.00 gamma=90.00
Sites, in units of the cell vectors:
Cs 0.0000 0.0000 0.0000
Cu 0.0000 0.0000 0.5000
Cu 0.0000 0.5000 0.0000
Cu 0.5000 0.0000 0.0000
N 0.5000 0.5000 0.5000

Values from the calculation:
Polymorph energy (0 for the lowest one) in eV/atom: 2.097
Formation energy without anion corrections in eV/atom: 2.9403
E in eV per formula unit: -6.77

=====

The following is a PBE calculation of a relaxed structure of LaPr3Ho12, from the Alexandria database.

Unit cell a=5.0568 b=5.0568 c=20.2322 alpha=90.00 beta=90.00 gamma=90.00
Sites, in units of the cell vectors:
La 0.0000 0.0000 0.0000
Pr 0.0000 0.0000 0.2500
Pr 0.0000 0.0000 0.5000
Pr 0.0000 0.0000 0.7500
Ho 0.0000 0.5000 0.1261
Ho 0.0000 0.5000 0.3752
Ho 0.0000 0.5000 0.6248
Ho 0.0000 0.5000 0.8739
Ho 0.5000 0.0000 0.1261
Ho 0.5000 0.0000 0.3752
Ho 0.5000 0.0000 0.6248
Ho 0.5000 0.0000 0.8739
Ho 0.5000 0.5000 0.0000
Ho 0.5000 0.5000 0.2508
Ho 0.5000 0.5000 0.5000
Ho 0.5000 0.5000 0.7492

Values from the calculation:
Energy of formation in kJ/mol of atoms: 3
E in eV per formula unit: -73.77

=====

The following is a PBE calculation of a relaxed structure of NaSrFeTe2, from the Alexandria database.

Unit cell a=5.4021 b=5.4021 c=5.1518 alpha=90.00 beta=90.00 gamma=90.00
Sites, in units of the cell vectors:
Na 0.0000 0.0000 0.0000
Sr 0.5000 0.5000 0.0000
Fe 0.5000 0.5000 0.5000
Te 0.0000 0.5000 0.5000
Te 0.5000 0.0000 0.5000

Values from the calculation:
Formation energy without anion corrections in eV/atom: -0.1835
E in eV per formula unit: -18.66

=====

The following is a PBE calculation of a relaxed structure of Dy8ErMg2, from the Alexandria database.

Unit cell a=8.8687 b=8.8687 c=5.6231 alpha=102.37 beta=102.37 gamma=121.09
Sites, in units of the cell vectors:
Dy 0.0974 0.3204 0.6305
Dy 0.2116 0.7884 0.0000
Dy 0.3204 0.0974 0.6305
Dy 0.4056 0.4056 0.2029
Dy 0.5944 0.5944 0.7971
Dy 0.6796 0.9026 0.3695
Dy 0.7884 0.2116 0.0000
Dy 0.9026 0.6796 0.3695
Er 0.0000 0.0000 0.0000
Mg 0.3067 0.6933 0.5000
Mg 0.6933 0.3067 0.5000

Values from the calculation:
Energy of formation in kJ/mol of atoms: 14
Polymorph energy (0 for the lowest one) in eV/atom: 0.125
E in eV per formula unit: -42.99

=====

The following is a PBE calculation of a relaxed structure of PaTcPd, from the Alexandria database.

Unit cell a=4.9003 b=7.9387 c=5.7190 alpha=90.00 beta=90.00 gamma=90.00
Sites, in units of the cell vectors:
Pa 0.0000 0.1473 0.2500
Pa 0.0000 0.8527 0.7500
Pa 0.5000 0.3527 0.7500
Pa 0.5000 0.6473 0.2500
Tc 0.0000 0.1606 0.7500
Tc 0.0000 0.8394 0.2500
Tc 0.5000 0.3394 0.2500
Tc 0.5000 0.6606 0.7500
Pd 0.0000 0.5000 0.0000
Pd 0.0000 0.5000 0.5000
Pd 0.5000 0.0000 0.0000
Pd 0.5000 0.0000 0.5000

Values from the calculation:
Energy of formation in kJ/mol of atoms: -36
Polymorph energy (0 for the lowest one) in eV/atom: 0.000
E in eV per formula unit: -26.17

=====

The following is a PBE calculation of a relaxed structure of LiTmAl2, from the Alexandria database.

Unit cell a=3.4010 b=20.3536 c=4.4913 alpha=90.00 beta=90.00 gamma=90.00
Sites, in units of the cell vectors:
Li 0.0000 0.1632 0.2500
Li 0.0000 0.8368 0.7500
Li 0.5000 0.3368 0.7500
Li 0.5000 0.6632 0.2500
Tm 0.0000 0.4008 0.2500
Tm 0.0000 0.5992 0.7500
Tm 0.5000 0.0992 0.7500
Tm 0.5000 0.9008 0.2500
Al 0.0000 0.0340 0.2500
Al 0.0000 0.2330 0.7500
Al 0.0000 0.7670 0.2500
Al 0.0000 0.9660 0.7500
Al 0.5000 0.2670 0.2500
Al 0.5000 0.4660 0.7500
Al 0.5000 0.5340 0.2500
Al 0.5000 0.7330 0.7500

Values from the calculation:
Energy of formation in kJ/mol of atoms: -25
Polymorph energy (0 for the lowest one) in eV/atom: 0.000
E in eV per formula unit: -14.91